Material: TiVRh2
Method: DFT, PBE-GGA
State: relaxed

extended XYZ file:
```
4
Lattice="-1.852 -1.174 1.800 1.101 -2.559 -0.536 4.652 0.878 5.359" Properties=species:S:1:pos:R:3 pbc="T T T"
Rh 1.207 0.228 1.390
Ti -0.376 -1.867 0.632
V 1.951 -1.427 3.311
Rh 3.445 0.650 3.968
```

Calculated values
E above lowest polymorph ... 0.012 eV/atom
Space-group type ... P4/mmm (123)



Material: Ti3VRh4
Method: DFT, PBE-GGA
State: relaxed

extended XYZ file:
```
16
Lattice="4.605 0.000 0.000 0.000 5.762 0.000 0.000 0.000 8.880" Properties=species:S:1:pos:R:3 pbc="T T T"
Rh 2.302 4.309 4.440
Rh 4.192 4.308 2.220
Ti 2.622 0.000 6.660
Rh 2.302 1.453 0.000
Rh 2.302 1.453 4.440
V 0.000 2.881 0.000
Rh 4.192 1.454 2.220
Rh 2.302 4.309 0.000
Ti 2.699 2.881 6.660
Rh 0.412 4.308 6.660
Ti 1.983 0.000 2.220
V 0.000 2.881 4.440
Ti 1.906 2.881 2.220
Ti 0.000 0.000 4.440
Rh 0.412 1.454 6.660
Ti 0.000 0.000 0.000
```

Calculated values
Space-group type ... Pmma (51)



Material: TiVRh
Method: DFT, PBE-GGA
State: relaxed

extended XYZ file:
```
6
Lattice="-1.610 -0.198 4.368 1.543 -2.229 0.467 6.082 3.010 2.379" Properties=species:S:1:pos:R:3 pbc="T T T"
Ti 3.713 1.433 2.676
Ti 2.302 -0.850 4.538
Rh 1.859 -0.007 1.928
V 0.000 0.000 0.000
Rh 4.156 0.589 5.287
V -0.805 -0.099 2.184
```

Calculated values
E above lowest polymorph ... 0.238 eV/atom
Space-group type ... Cmcm (63)



Material: Ti6VRh2
Method: DFT, PBE-GGA
State: relaxed

extended XYZ file:
```
9
Lattice="4.229 0.000 -0.168 0.000 6.035 0.000 -1.873 -3.018 6.471" Properties=species:S:1:pos:R:3 pbc="T T T"
Ti 2.115 4.562 -0.084
V 0.000 0.000 0.000
Ti 2.278 -1.526 4.207
Ti 2.115 1.473 -0.084
Ti 0.079 4.544 2.096
Ti 2.278 1.526 4.207
Ti 0.079 1.492 2.096
Rh 0.161 0.000 4.239
Rh 2.195 3.018 2.064
```

Calculated values
Space-group type ... C2/m (12)



Material: TiVRh2
Method: DFT, PBE-GGA
State: relaxed

extended XYZ file:
```
4
Lattice="-1.244 0.231 -2.489 0.703 -1.728 -2.077 -6.267 -6.016 1.009" Properties=species:S:1:pos:R:3 pbc="T T T"
V -3.404 -3.757 -1.778
Ti 0.000 0.000 0.000
Rh -1.731 -1.905 -0.877
Rh -5.077 -5.609 -2.680
```

Calculated values
E above lowest polymorph ... 0.226 eV/atom
Space-group type ... R-3m (166)



Material: TiVRh
Method: DFT, PBE-GGA
State: relaxed

extended XYZ file:
```
3
Lattice="-0.722 2.637 -0.276 -3.929 -1.197 -1.161 0.896 0.676 4.118" Properties=species:S:1:pos:R:3 pbc="T T T"
Rh -1.199 1.829 2.172
V -0.719 2.624 -0.274
Ti -2.560 0.300 0.508
```

Calculated values
E above lowest polymorph ... 0.199 eV/atom
Space-group type ... P3m1 (156)



Material: TiVRh
Method: DFT, PBE-GGA
State: relaxed

extended XYZ file:
```
6
Lattice="3.051 0.000 0.379 0.000 4.238 -0.001 -0.817 -2.120 6.579" Properties=species:S:1:pos:R:3 pbc="T T T"
Rh 0.983 2.118 4.563
V 1.526 2.119 0.189
Rh 1.251 0.000 2.395
Ti -0.552 -0.001 4.454
Ti 2.787 2.118 2.503
V 0.000 0.000 0.000
```

Calculated values
E above lowest polymorph ... 0.000 eV/atom
Space-group type ... Cmmm (65)



Material: TiVRh3
Method: DFT, PBE-GGA
State: relaxed

extended XYZ file:
```
5
Lattice="-2.517 3.125 -1.948 -3.043 -0.436 3.231 2.073 3.153 2.378" Properties=species:S:1:pos:R:3 pbc="T T T"
Rh 1.037 1.576 1.189
V 0.000 0.000 0.000
Ti -1.743 2.921 1.831
Rh -1.258 1.562 -0.974
Rh -1.522 -0.218 1.616
```

Calculated values
E above lowest polymorph ... 0.716 eV/atom
Space-group type ... Pm-3m (221)



| no. | total DFT energy (no corrections) (eV/atom) | formation enthalpy at 0 K (eV/atom) |
| --- | --- | --- |
| 1 | -8.446 | -0.5169 |
| 2 | -8.403 | -0.6267 |
| 3 | -8.388 | -0.2662 |
| 4 | -7.876 | 0.0344 |
| 5 | -8.232 | -0.3033 |
| 6 | -8.426 | -0.3047 |
| 7 | -8.626 | -0.5042 |
| 8 | -7.344 | 0.4692 |